No. 1
Na4GaSn: optimized geometry, GGA-PBE.

Geometry as POSCAR:
```
Na4GaSn
1.0
5.2218 0.0000 1.1302
2.6109 5.0334 0.5651
0.1020 0.0000 12.3335
Na Ga Sn
8 2 2
Direct
0.5307 0.6735 0.2654
0.7957 0.6735 0.7346
0.6609 0.6782 0.0000
0.2004 0.0000 0.5993
0.3391 0.3218 0.0000
0.7996 0.0000 0.4007
0.4693 0.3265 0.7346
0.2043 0.3265 0.2654
0.2495 0.5010 0.5000
0.7505 0.4990 0.5000
0.9386 0.0000 0.1249
0.0614 0.0000 0.8751
```

magnetic moment = 0.0 μB/cell
energy of formation = -0.11 eV per atom
uncorrected energy = -25.898 eV per cell



No. 2
AgSbAu4: optimized geometry, GGA-PBE.

Geometry as POSCAR:
```
AgSbAu4
1.0
-1.2936 3.3468 -3.6916
-3.3633 -1.3344 -3.6620
-3.8231 1.7087 2.8981
Au Ag Sb
4 1 1
Direct
0.1703 0.1703 0.5003
0.6644 0.6644 0.9996
0.8297 0.8297 0.4997
0.3356 0.3356 0.0004
0.5000 0.5000 0.5000
0.0000 0.0000 0.0000
```

magnetic moment = 0.0 μB/cell
energy relative to the elements, uncorrected = 0.024 eV per atom
uncorrected energy = -19.941 eV per cell



No. 3
LaCr2Fe: optimized geometry, GGA-PBE.

Geometry as POSCAR:
```
LaCr2Fe
1.0
4.9276 -0.0220 -0.0711
-2.1589 4.6296 0.0838
0.6098 0.8355 2.6981
Cr La Fe
2 1 1
Direct
0.5000 0.0000 0.5000
0.0000 0.0000 0.0000
0.5000 0.5000 0.0000
0.0000 0.5000 0.5000
```

magnetic moment = 1.6 μB/cell
energy of formation = 0.87 eV per atom
uncorrected energy = -29.160 eV per cell



No. 4
Pu2IrF: optimized geometry, GGA-PBE.

Geometry as POSCAR:
```
Pu2IrF
1.0
-2.6141 -1.3917 1.4244
1.4309 0.3221 2.9407
-3.0648 6.5492 0.7740
F Ir Pu
1 1 2
Direct
0.5000 0.5000 0.5000
0.5000 0.5000 0.0000
0.0000 0.0000 0.7563
0.0000 0.0000 0.2437
```

magnetic moment = 11.1 μB/cell
energy relative to the elements, uncorrected = -1.163 eV per atom
uncorrected energy = -44.050 eV per cell



No. 5
NdTlRuO6: optimized geometry, GGA-PBE.

Geometry as POSCAR:
```
NdTlRuO6
1.0
-3.2257 4.5085 -1.1357
-5.2011 -0.6990 -2.1177
-1.7394 -0.1613 4.3148
O Nd Ru Tl
6 1 1 1
Direct
0.3341 0.0499 0.7379
0.0502 0.6159 0.7373
0.6159 0.0502 0.2626
0.3337 0.6164 0.2622
0.0499 0.3342 0.2621
0.6164 0.3336 0.7377
0.6665 0.6666 0.5001
0.3332 0.3333 0.5000
0.9999 0.9999 0.0000
```

magnetic moment = 1.3 μB/cell
energy relative to the elements, uncorrected = -1.315 eV per atom
uncorrected energy = -57.993 eV per cell



No. 6
Tb4NdSm2Y2: optimized geometry, GGA-PBE.

Geometry as POSCAR:
```
Tb4NdSm2Y2
1.0
-2.5741 -2.5320 0.3129
5.0219 -3.4264 -7.4024
3.3845 -2.3654 8.7019
Y Sm Tb Nd
2 2 4 1
Direct
0.1473 0.2946 0.6649
0.8527 0.7054 0.3351
0.6671 0.3343 0.0013
0.3329 0.6657 0.9987
0.1858 0.3715 0.3358
0.4810 0.9620 0.6647
0.5190 0.0380 0.3353
0.8142 0.6285 0.6642
0.0000 0.0000 0.0000
```

magnetic moment = 0.0 μB/cell
energy of formation = 0.00 eV per atom
uncorrected energy = -45.684 eV per cell



No. 7
Ba4Cd5Pd2: optimized geometry, GGA-PBE.

Geometry as POSCAR:
```
Ba4Cd5Pd2
1.0
4.6585 0.0000 0.0000
0.0000 8.0749 0.1729
0.0000 0.3114 9.8724
Cd Pd Ba
5 2 4
Direct
0.0000 0.8634 0.8770
0.0000 0.5000 0.0000
0.0000 0.4116 0.6353
0.0000 0.5884 0.3647
0.0000 0.1366 0.1230
0.0000 0.9379 0.3697
0.0000 0.0621 0.6303
0.5000 0.7931 0.1547
0.5000 0.7679 0.6065
0.5000 0.2321 0.3935
0.5000 0.2069 0.8453
```

magnetic moment = 0.0 μB/cell
energy of formation = -0.37 eV per atom
uncorrected energy = -26.751 eV per cell



No. 8
RbGa2AgI4: optimized geometry, GGA-PBE.

Geometry as POSCAR:
```
RbGa2AgI4
1.0
-1.9321 -6.2782 7.0854
9.2811 -0.2207 2.6765
-4.8701 8.5692 -0.6127
Ag I Rb Ga
2 8 2 4
Direct
0.5000 0.5000 0.5000
0.0000 0.0000 0.0000
0.7755 0.1868 0.9812
0.2245 0.8132 0.0188
0.2607 0.2392 0.9748
0.7392 0.7607 0.4748
0.6868 0.2755 0.4812
0.3132 0.7245 0.5188
0.2608 0.2393 0.5252
0.7393 0.7608 0.0252
0.0000 0.5000 0.5000
0.0000 0.5000 0.0000
0.0000 0.0000 0.5000
0.5000 0.0000 0.5000
0.5000 0.5000 0.0000
0.5000 0.0000 0.0000
```

magnetic moment = 0.0 μB/cell
energy relative to the elements, uncorrected = -0.539 eV per atom
uncorrected energy = -40.775 eV per cell



No. 9
NbTl2SnN: optimized geometry, GGA-PBE.

Geometry as POSCAR:
```
NbTl2SnN
1.0
5.4705 0.0000 0.0000
0.0000 4.0254 0.0000
0.0000 0.0000 5.4705
N Nb Tl Sn
1 1 2 1
Direct
0.0000 0.0000 0.0000
0.0000 0.5000 0.0000
0.0000 0.0000 0.5000
0.5000 0.0000 0.0000
0.5000 0.5000 0.5000
```

magnetic moment = 1.3 μB/cell
energy relative to the elements, uncorrected = 0.425 eV per atom
uncorrected energy = -25.003 eV per cell



No. 10
Ba2LiCd6Ag: optimized geometry, GGA-PBE.

Geometry as POSCAR:
```
Ba2LiCd6Ag
1.0
7.4688 -0.0013 0.0027
-0.0004 7.4689 0.0027
3.7361 3.7356 5.2650
Cd Ba Li Ag
6 2 1 1
Direct
0.7411 0.7411 0.9998
0.2589 0.2589 0.0002
0.2593 0.2593 0.4814
0.2591 0.7409 0.0000
0.7409 0.2591 0.0000
0.7407 0.7407 0.5186
0.7501 0.2499 0.5000
0.2499 0.7501 0.5000
0.5000 0.5000 0.0000
0.0000 0.0000 0.0000
```

magnetic moment = 0.0 μB/cell
energy of formation = -0.15 eV per atom
uncorrected energy = -15.632 eV per cell



No. 11
LiAuOF2: optimized geometry, GGA-PBE.

Geometry as POSCAR:
```
LiAuOF2
1.0
-0.7753 4.4557 -0.1543
-4.4320 -0.7873 -0.4649
-0.4184 0.0617 3.8847
O F Li Au
1 2 1 1
Direct
0.0000 0.0000 0.5000
0.0000 0.5000 0.0000
0.5000 0.0000 0.0000
0.5000 0.5000 0.5000
0.0000 0.0000 0.0000
```

magnetic moment = 0.0 μB/cell
energy relative to the elements, uncorrected = -0.916 eV per atom
uncorrected energy = -18.472 eV per cell



No. 12
YSc3Rh: optimized geometry, GGA-PBE.

Geometry as POSCAR:
```
YSc3Rh
1.0
-3.1840 -2.9818 2.3621
3.0328 1.0088 5.3618
-4.4911 5.9248 1.4254
Rh Y Sc
2 2 6
Direct
0.4756 0.6830 0.2008
0.9755 0.6699 0.7008
0.4756 0.3812 0.7007
0.9756 0.9716 0.2007
0.9756 0.4915 0.0031
0.9756 0.0830 0.7007
0.4756 0.2698 0.2008
0.4757 0.8613 0.8985
0.9756 0.4915 0.3985
0.4757 0.8613 0.5030
```

magnetic moment = 0.0 μB/cell
energy of formation = -0.35 eV per atom
uncorrected energy = -69.085 eV per cell



No. 13
Cs2YAuCl6: optimized geometry, GGA-PBE.

Geometry as POSCAR:
```
Cs2YAuCl6
1.0
7.6796 0.0000 0.0000
3.8398 6.6507 0.0000
3.8398 2.2169 6.2704
Cs Cl Au Y
2 6 1 1
Direct
0.2500 0.2500 0.2500
0.7500 0.7500 0.7500
0.2439 0.2439 0.7561
0.7561 0.2439 0.2439
0.2439 0.7561 0.7561
0.7561 0.7561 0.2439
0.2439 0.7561 0.2439
0.7561 0.2439 0.7561
0.5000 0.5000 0.5000
0.0000 0.0000 0.0000
```

magnetic moment = 0.0 μB/cell
energy relative to the elements, uncorrected = -1.717 eV per atom
uncorrected energy = -39.695 eV per cell



No. 14
K4Ho3TiO8: optimized geometry, GGA-PBE.

Geometry as POSCAR:
```
K4Ho3TiO8
1.0
6.7875 0.0000 0.0000
0.0000 7.3302 0.3708
-3.3937 -3.3843 4.8027
O Ti K Ho
8 1 4 3
Direct
0.2707 0.3122 0.5413
0.7809 0.3203 0.0394
0.2183 0.6790 0.4366
0.7817 0.3210 0.5634
0.2585 0.3203 0.0394
0.2191 0.6797 0.9606
0.7293 0.6878 0.4587
0.7415 0.6797 0.9606
0.0000 0.5000 0.0000
0.0000 0.0000 0.5000
0.0000 0.0000 0.0000
0.5000 0.0000 0.0000
0.5000 0.0000 0.5000
0.5000 0.5000 0.5000
0.5000 0.5000 0.0000
0.0000 0.5000 0.5000
```

magnetic moment = 1.0 μB/cell
energy relative to the elements, uncorrected = -2.621 eV per atom
uncorrected energy = -107.617 eV per cell



No. 15
BaNaNb: optimized geometry, GGA-PBE.

Geometry as POSCAR:
```
BaNaNb
1.0
-8.4503 0.8562 -3.9694
-4.6345 -0.0472 5.2022
0.8178 3.0831 1.4348
Nb Na Ba
2 2 2
Direct
0.2381 0.4514 0.1630
0.4550 0.4400 0.7051
0.0114 0.8631 0.3074
0.6797 0.0270 0.5597
0.3455 0.9458 0.9327
0.8464 0.4449 0.4353
```

magnetic moment = 0.0 μB/cell
energy of formation = 0.59 eV per atom
uncorrected energy = -23.055 eV per cell



No. 16
GaI2O: optimized geometry, GGA-PBE.

Geometry as POSCAR:
```
GaI2O
1.0
0.0000 3.5353 3.5353
3.5353 0.0000 3.5353
3.5353 3.5353 0.0000
I Ga O
2 1 1
Direct
0.7500 0.7500 0.7500
0.2500 0.2500 0.2500
0.5000 0.5000 0.5000
0.0000 0.0000 0.0000
```

magnetic moment = 0.0 μB/cell
energy relative to the elements, uncorrected = 0.602 eV per atom
uncorrected energy = -8.679 eV per cell



No. 17
BiOsI2N: optimized geometry, GGA-PBE.

Geometry as POSCAR:
```
BiOsI2N
1.0
6.3263 0.0000 0.0000
0.0000 6.3263 0.0000
0.0000 0.0000 4.2107
I N Bi Os
2 1 1 1
Direct
0.5000 0.0000 0.0000
0.0000 0.5000 0.0000
0.0000 0.0000 0.5000
0.0000 0.0000 0.0000
0.5000 0.5000 0.5000
```

magnetic moment = 5.1 μB/cell
energy relative to the elements, uncorrected = 1.957 eV per atom
uncorrected energy = -16.753 eV per cell



No. 18
LiSi2Hg: optimized geometry, GGA-PBE.

Geometry as POSCAR:
```
LiSi2Hg
1.0
2.7832 0.0000 0.0000
0.0000 4.5992 0.0000
0.0000 0.0000 5.6225
Si Hg Li
2 1 1
Direct
0.0000 0.0000 0.9660
0.0000 0.0000 0.5340
0.5000 0.5000 0.2500
0.5000 0.5000 0.7500
```

magnetic moment = 0.0 μB/cell
energy relative to the elements, uncorrected = 0.262 eV per atom
uncorrected energy = -12.012 eV per cell



No. 19
Na5InO4: optimized geometry, GGA-PBE.

Geometry as POSCAR:
```
Na5InO4
1.0
-7.5118 7.4556 1.3687
-2.4317 -0.5168 -10.5308
-7.3439 -7.7807 2.0777
Na O In
40 32 8
Direct
0.8336 0.1068 0.1169
0.8336 0.6068 0.3831
0.6320 0.6507 0.6182
0.0948 0.8757 0.1474
0.1320 0.3493 0.8818
0.6664 0.1068 0.6169
0.3566 0.1134 0.8966
0.8566 0.3866 0.8966
0.6029 0.8809 0.8389
0.8680 0.6507 0.1182
0.6029 0.3809 0.6611
0.1434 0.1134 0.3966
0.3680 0.3493 0.3818
0.6434 0.3866 0.3966
0.5948 0.1243 0.3526
0.9052 0.6243 0.6474
0.1029 0.1191 0.6611
0.3971 0.6191 0.3389
0.3971 0.1191 0.1611
0.8971 0.8809 0.3389
0.6664 0.6068 0.8831
0.6320 0.1507 0.8818
0.4052 0.8757 0.6474
0.4052 0.3757 0.8526
0.3680 0.8493 0.1182
0.1664 0.3932 0.6169
0.0948 0.3757 0.3526
0.1664 0.8932 0.8831
0.8566 0.8866 0.6034
0.3566 0.6134 0.6034
0.3336 0.3932 0.1169
0.1434 0.6134 0.1034
0.1320 0.8493 0.6182
0.8971 0.3809 0.1611
0.6434 0.8866 0.1034
0.9052 0.1243 0.8526
0.1029 0.6191 0.8389
0.8680 0.1507 0.3818
0.3336 0.8932 0.3831
0.5948 0.6243 0.1474
0.7680 0.7526 0.7572
0.9994 0.4563 0.7441
0.4995 0.0437 0.7441
0.4994 0.5437 0.7559
0.2320 0.2474 0.2428
0.7377 0.9851 0.4563
0.9995 0.9563 0.7559
0.0098 0.2528 0.5116
0.2680 0.2474 0.7428
0.7680 0.2526 0.7428
0.7623 0.9851 0.9563
0.5005 0.9563 0.2559
0.0098 0.7528 0.9884
0.2623 0.0149 0.5437
0.0006 0.5437 0.2559
0.2377 0.5150 0.4563
0.4902 0.2528 0.0116
0.5006 0.4563 0.2441
0.2623 0.5150 0.9563
0.9902 0.2472 0.0116
0.2377 0.0149 0.0437
0.0005 0.0437 0.2441
0.5098 0.7472 0.9884
0.4902 0.7528 0.4884
0.2680 0.7474 0.7572
0.7320 0.2526 0.2428
0.5098 0.2472 0.5116
0.7320 0.7526 0.2572
0.2320 0.7474 0.2572
0.7377 0.4850 0.0437
0.7623 0.4850 0.5437
0.9902 0.7472 0.4884
0.6153 0.3523 0.1215
0.3847 0.6477 0.8785
0.6153 0.8524 0.3785
0.8847 0.8524 0.8785
0.3847 0.1476 0.6215
0.1153 0.6477 0.3785
0.1153 0.1476 0.1215
0.8847 0.3523 0.6215
```

magnetic moment = 0.6 μB/cell
energy relative to the elements, uncorrected = -1.407 eV per atom
uncorrected energy = -345.864 eV per cell



No. 20
Ge3SbSe3: optimized geometry, GGA-PBE.

Geometry as POSCAR:
```
Ge3SbSe3
1.0
-2.6562 5.8158 6.2518
-7.4731 -1.5482 4.6604
-0.3317 -1.4201 7.5754
Ge Sb Se
6 2 6
Direct
0.7480 0.4634 0.7066
0.2520 0.5366 0.2934
0.5366 0.9180 0.2934
0.0820 0.7480 0.7066
0.4634 0.0820 0.7066
0.9180 0.2520 0.2934
0.4183 0.4183 0.7451
0.5817 0.5817 0.2549
0.0287 0.4696 0.7359
0.5304 0.2342 0.2641
0.9713 0.5304 0.2641
0.7658 0.0287 0.7359
0.4696 0.7658 0.7359
0.2342 0.9713 0.2641
```

magnetic moment = 0.0 μB/cell
energy relative to the elements, uncorrected = -0.028 eV per atom
uncorrected energy = -57.241 eV per cell